(1)
Computed, not measured: RbU2Cl7 after structural relaxation at the PBE level of DFT.

The structure in extended XYZ format:
```
10
Lattice="4.374 -7.094 0.000 4.374 7.094 0.000 0.000 0.000 5.475" Properties=species:S:1:pos:R:3 pbc="T T T"
Rb 0.000 0.000 0.000
U 4.374 2.764 2.737
U 4.374 -2.764 2.737
Cl 1.638 1.976 2.737
Cl 4.374 2.949 0.000
Cl 1.638 -1.976 2.737
Cl 4.374 0.000 2.737
Cl 7.110 1.976 2.737
Cl 4.374 -2.949 0.000
Cl 7.110 -1.976 2.737
```

Properties
* space-group type: Cmmm, No. 65
* formation energy (no corrections): -1727 meV/atom
* volume: 33.978 Å³/atom
* electronic total energy: -5.3742 eV per atom

(2)
Computed, not measured: Pr3Ho3Tm2 after structural relaxation at the PBE level of DFT.

The structure in extended XYZ format:
```
8
Lattice="8.223 -2.854 0.000 8.223 2.854 0.000 -2.071 0.000 5.630" Properties=species:S:1:pos:R:3 pbc="T T T"
Pr 0.000 0.000 0.000
Pr 0.793 0.000 3.930
Pr 13.582 0.000 1.699
Ho 4.125 0.000 5.163
Ho 7.188 0.000 2.815
Ho 10.251 0.000 0.466
Tm 3.453 0.000 1.791
Tm 10.922 0.000 3.839
```

Properties
* ΔE to the lowest computed polymorph: 0.45 eV per formula unit
* E_form: 8.01 kJ per mole of atoms
* space-group type: C2/m, No. 12
* volume: 33.032 Å³/atom
* electronic total energy: -4.5439 eV per atom

(3)
Computed, not measured: Cs3Er2SnTe6 after structural relaxation at the PBE level of DFT.

The structure in extended XYZ format:
```
12
Lattice="3.945 -6.836 0.000 3.945 6.836 0.000 -2.629 0.000 8.895" Properties=species:S:1:pos:R:3 pbc="T T T"
Cs 0.000 0.000 0.000
Cs 3.945 2.269 0.000
Cs 3.945 -2.269 0.000
Er 2.630 4.555 4.447
Er 2.630 -4.555 4.447
Sn 2.630 0.000 4.447
Te 1.302 2.301 2.785
Te -0.026 0.000 6.108
Te 1.302 -2.301 2.785
Te 3.959 2.301 6.110
Te 5.287 0.000 2.786
Te 3.959 -2.301 6.110
```

Properties
* space-group type: C2/m, No. 12
* formation energy (no corrections): -1082 meV/atom
* volume: 39.980 Å³/atom
* electronic total energy: -3.9601 eV per atom

(4)
Computed, not measured: Dy2I3 after structural relaxation at the PBE level of DFT.

The structure in extended XYZ format:
```
10
Lattice="3.539 2.043 8.002 -3.539 2.043 8.002 0.000 -4.087 8.002" Properties=species:S:1:pos:R:3 pbc="T T T"
Dy 0.000 0.000 4.087
Dy 0.000 0.000 7.916
Dy 0.000 0.000 16.090
Dy 0.000 0.000 19.919
I -2.332 0.047 10.002
I -1.207 -1.996 14.003
I 1.125 -2.043 10.002
I -1.125 2.043 14.003
I 1.207 1.996 10.002
I 2.332 -0.047 14.003
```

Properties
* ΔE to the lowest computed polymorph: 1.31 eV per formula unit
* space-group type: R-3c, No. 167
* formation energy (no corrections): -839 meV/atom
* volume: 34.721 Å³/atom
* electronic total energy: -3.6097 eV per atom

(5)
Computed, not measured: CsK2AlCd after structural relaxation at the PBE level of DFT.

The structure in extended XYZ format:
```
5
Lattice="6.913 0.000 0.000 0.000 6.913 0.000 0.000 0.000 5.181" Properties=species:S:1:pos:R:3 pbc="T T T"
Cs 0.000 0.000 0.000
K 0.000 3.457 2.591
K 3.457 0.000 2.591
Al 3.457 3.457 0.000
Cd 3.457 3.457 2.591
```

Properties
* ΔE to the lowest computed polymorph: 0.04 eV per formula unit
* E_form: 16.33 kJ per mole of atoms
* space-group type: P4/mmm, No. 123
* volume: 49.528 Å³/atom
* electronic total energy: -1.3720 eV per atom

(6)
Computed, not measured: K2AlGeTe4 after structural relaxation at the PBE level of DFT.

The structure in extended XYZ format:
```
16
Lattice="0.000 7.519 12.450 3.369 0.000 12.450 3.369 7.519 0.000" Properties=species:S:1:pos:R:3 pbc="T T T"
K 2.527 5.639 1.480
K 4.212 9.399 7.705
K 2.527 5.639 17.195
K 4.212 9.399 23.420
Al 0.842 1.880 3.113
Al 5.896 13.159 21.788
Ge 2.527 5.639 9.338
Ge 4.212 9.399 15.563
Te 2.436 3.405 4.565
Te 4.303 7.164 10.790
Te 2.618 7.874 4.565
Te 2.618 3.405 14.111
Te 4.121 11.634 10.790
Te 4.121 7.164 20.336
Te 2.436 7.874 14.111
Te 4.303 11.634 20.336
```

Properties
* space-group type: Fddd, No. 70
* formation energy (no corrections): -581 meV/atom
* volume: 39.428 Å³/atom
* electronic total energy: -3.4714 eV per atom

(7)
Computed, not measured: CsCl after structural relaxation at the PBE level of DFT.

The structure in extended XYZ format:
```
8
Lattice="-6.963 6.963 2.926 6.963 -6.963 2.926 6.963 6.963 -2.926" Properties=species:S:1:pos:R:3 pbc="T T T"
Cs 9.851 1.659 0.000
Cs 1.659 4.075 0.000
Cs 5.304 2.888 2.926
Cs -2.888 5.304 2.926
Cl 4.084 1.687 0.000
Cl 5.276 -2.880 2.926
Cl 1.687 9.843 0.000
Cl 2.880 5.276 2.926
```

Properties
* space-group type: I4/m, No. 87
* formation energy (no corrections): -1871 meV/atom
* volume: 70.928 Å³/atom
* electronic total energy: -3.2213 eV per atom

(8)
Computed, not measured: Ti2CuMo after structural relaxation at the PBE level of DFT.

The structure in extended XYZ format:
```
8
Lattice="-1.890 1.890 9.070 1.890 -1.890 9.070 1.890 1.890 -9.070" Properties=species:S:1:pos:R:3 pbc="T T T"
Ti 2.835 0.925 -2.268
Ti 0.925 0.945 2.268
Ti -0.945 0.965 6.803
Ti 0.965 0.945 11.338
Cu 1.890 0.000 4.535
Cu 0.000 0.000 9.070
Mo 0.000 0.000 0.000
Mo 0.000 1.890 4.535
```

Properties
* E_form: 47.19 kJ per mole of atoms
* space-group type: I-42d, No. 122
* volume: 16.199 Å³/atom
* electronic total energy: -7.1902 eV per atom

Please write out number 8 again, unchanged.
Computed, not measured: Ti2CuMo after structural relaxation at the PBE level of DFT.

The structure in extended XYZ format:
```
8
Lattice="-1.890 1.890 9.070 1.890 -1.890 9.070 1.890 1.890 -9.070" Properties=species:S:1:pos:R:3 pbc="T T T"
Ti 2.835 0.925 -2.268
Ti 0.925 0.945 2.268
Ti -0.945 0.965 6.803
Ti 0.965 0.945 11.338
Cu 1.890 0.000 4.535
Cu 0.000 0.000 9.070
Mo 0.000 0.000 0.000
Mo 0.000 1.890 4.535
```

Properties
* E_form: 47.19 kJ per mole of atoms
* space-group type: I-42d, No. 122
* volume: 16.199 Å³/atom
* electronic total energy: -7.1902 eV per atom